This record from OQMD describes a relaxed Pm2ZnHg crystal. The functional is PBE.

Geometry as CIF:
```
data_Pm2ZnHg
_chemical_formula_sum 'Pm2 Zn1 Hg1'
_cell_length_a 3.7160
_cell_length_b 3.7160
_cell_length_c 7.5044
_cell_angle_alpha 90.00
_cell_angle_beta 90.00
_cell_angle_gamma 90.00
_symmetry_space_group_name_H-M 'P 1'
_symmetry_Int_Tables_number 1
loop_
_symmetry_equiv_pos_as_xyz
'x,y,z'
loop_
_atom_site_label
_atom_site_type_symbol
_atom_site_fract_x
_atom_site_fract_y
_atom_site_fract_z
Hg1 Hg 0.0000 0.0000 0.5000
Pm1 Pm 0.5000 0.5000 0.2330
Pm2 Pm 0.5000 0.5000 0.7670
Zn1 Zn 0.0000 0.0000 0.0000
```

Results
* magnetic moment: 0.05 μB/atom
* ΔE_f: -39 kJ/mol of atoms
* final energy: -3.17 eV per atom

This record from OQMD describes a relaxed Pr3Hg4 crystal. The functional is PBE.

Geometry as CIF:
```
data_Pr3Hg4
_chemical_formula_sum 'Pr6 Hg8'
_cell_length_a 8.5709
_cell_length_b 8.5709
_cell_length_c 8.5709
_cell_angle_alpha 113.73
_cell_angle_beta 113.73
_cell_angle_gamma 113.73
_symmetry_space_group_name_H-M 'P 1'
_symmetry_Int_Tables_number 1
loop_
_symmetry_equiv_pos_as_xyz
'x,y,z'
loop_
_atom_site_label
_atom_site_type_symbol
_atom_site_fract_x
_atom_site_fract_y
_atom_site_fract_z
Hg1 Hg 0.0000 0.0000 0.0000
Hg2 Hg 0.5831 0.7384 0.0581
Hg3 Hg 0.9419 0.4169 0.2616
Hg4 Hg 0.2616 0.9419 0.4169
Hg5 Hg 0.5000 0.5000 0.5000
Hg6 Hg 0.7384 0.0581 0.5831
Hg7 Hg 0.0581 0.5831 0.7384
Hg8 Hg 0.4169 0.2616 0.9419
Pr1 Pr 0.2299 0.4917 0.1020
Pr2 Pr 0.4917 0.1020 0.2299
Pr3 Pr 0.1020 0.2299 0.4917
Pr4 Pr 0.8980 0.7701 0.5083
Pr5 Pr 0.5083 0.8980 0.7701
Pr6 Pr 0.7701 0.5083 0.8980
```

Results
* magnetic moment: 0.00 μB/atom
* ΔE_f: -46 kJ/mol of atoms
* final energy: -2.70 eV per atom

This record from OQMD describes a relaxed Pr2Hg crystal. The functional is PBE.

Geometry as CIF:
```
data_Pr2Hg
_chemical_formula_sum 'Pr8 Hg4'
_cell_length_a 7.2406
_cell_length_b 5.2892
_cell_length_c 9.7636
_cell_angle_alpha 90.00
_cell_angle_beta 90.00
_cell_angle_gamma 90.00
_symmetry_space_group_name_H-M 'P 1'
_symmetry_Int_Tables_number 1
loop_
_symmetry_equiv_pos_as_xyz
'x,y,z'
loop_
_atom_site_label
_atom_site_type_symbol
_atom_site_fract_x
_atom_site_fract_y
_atom_site_fract_z
Hg1 Hg 0.2681 0.2500 0.1027
Hg2 Hg 0.7681 0.2500 0.3973
Hg3 Hg 0.2319 0.7500 0.6027
Hg4 Hg 0.7319 0.7500 0.8973
Pr1 Pr 0.8269 0.2500 0.0763
Pr2 Pr 0.5156 0.7500 0.1934
Pr3 Pr 0.0156 0.7500 0.3066
Pr4 Pr 0.3269 0.2500 0.4237
Pr5 Pr 0.6731 0.7500 0.5763
Pr6 Pr 0.9844 0.2500 0.6934
Pr7 Pr 0.4844 0.2500 0.8066
Pr8 Pr 0.1731 0.7500 0.9237
```

Results
* magnetic moment: 0.00 μB/atom
* ΔE_f: -32 kJ/mol of atoms
* final energy: -3.61 eV per atom

This record from OQMD describes a relaxed PrHg2 crystal. The functional is PBE.

Geometry as CIF:
```
data_PrHg2
_chemical_formula_sum 'Pr1 Hg2'
_cell_length_a 3.8003
_cell_length_b 3.8003
_cell_length_c 7.2480
_cell_angle_alpha 104.03
_cell_angle_beta 104.03
_cell_angle_gamma 60.09
_symmetry_space_group_name_H-M 'P 1'
_symmetry_Int_Tables_number 1
loop_
_symmetry_equiv_pos_as_xyz
'x,y,z'
loop_
_atom_site_label
_atom_site_type_symbol
_atom_site_fract_x
_atom_site_fract_y
_atom_site_fract_z
Hg1 Hg 0.7838 0.7838 0.3439
Hg2 Hg 0.2162 0.2162 0.6561
Pr1 Pr 0.0000 0.0000 0.0000
```

Results
* magnetic moment: 0.00 μB/atom
* ΔE_f: -20 kJ/mol of atoms
* final energy: -2.00 eV per atom

This record from OQMD describes a relaxed PrHg3 crystal. The functional is PBE.

Geometry as CIF:
```
data_PrHg3
_chemical_formula_sum 'Pr2 Hg6'
_cell_length_a 6.7936
_cell_length_b 6.7936
_cell_length_c 5.0722
_cell_angle_alpha 90.00
_cell_angle_beta 90.00
_cell_angle_gamma 120.00
_symmetry_space_group_name_H-M 'P 1'
_symmetry_Int_Tables_number 1
loop_
_symmetry_equiv_pos_as_xyz
'x,y,z'
loop_
_atom_site_label
_atom_site_type_symbol
_atom_site_fract_x
_atom_site_fract_y
_atom_site_fract_z
Hg1 Hg 0.5032 0.0065 0.0000
Hg2 Hg 0.5032 0.4968 0.0000
Hg3 Hg 0.9935 0.4968 0.0000
Hg4 Hg 0.3411 0.1705 0.5000
Hg5 Hg 0.8295 0.1705 0.5000
Hg6 Hg 0.8295 0.6589 0.5000
Pr1 Pr 0.0000 0.0000 0.0000
Pr2 Pr 0.3333 0.6667 0.5000
```

Results
* magnetic moment: 0.00 μB/atom
* ΔE_f: -39 kJ/mol of atoms
* final energy: -1.82 eV per atom

This record from OQMD describes a relaxed Pr2Hg crystal. The functional is PBE.

Geometry as CIF:
```
data_Pr2Hg
_chemical_formula_sum 'Pr4 Hg2'
_cell_length_a 6.4278
_cell_length_b 6.4278
_cell_length_c 6.4278
_cell_angle_alpha 60.00
_cell_angle_beta 60.00
_cell_angle_gamma 60.00
_symmetry_space_group_name_H-M 'P 1'
_symmetry_Int_Tables_number 1
loop_
_symmetry_equiv_pos_as_xyz
'x,y,z'
loop_
_atom_site_label
_atom_site_type_symbol
_atom_site_fract_x
_atom_site_fract_y
_atom_site_fract_z
Hg1 Hg 0.0000 0.0000 0.0000
Hg2 Hg 0.2500 0.2500 0.2500
Pr1 Pr 0.6250 0.6250 0.1250
Pr2 Pr 0.6250 0.1250 0.6250
Pr3 Pr 0.1250 0.6250 0.6250
Pr4 Pr 0.6250 0.6250 0.6250
```

Results
* magnetic moment: 0.17 μB/atom
* ΔE_f: 22 kJ/mol of atoms
* final energy: -3.06 eV per atom

This record from OQMD describes a relaxed PrHg2 crystal. The functional is PBE.

Geometry as CIF:
```
data_PrHg2
_chemical_formula_sum 'Pr2 Hg4'
_cell_length_a 6.0102
_cell_length_b 6.0102
_cell_length_c 6.0102
_cell_angle_alpha 60.00
_cell_angle_beta 60.00
_cell_angle_gamma 60.00
_symmetry_space_group_name_H-M 'P 1'
_symmetry_Int_Tables_number 1
loop_
_symmetry_equiv_pos_as_xyz
'x,y,z'
loop_
_atom_site_label
_atom_site_type_symbol
_atom_site_fract_x
_atom_site_fract_y
_atom_site_fract_z
Hg1 Hg 0.6250 0.6250 0.1250
Hg2 Hg 0.6250 0.1250 0.6250
Hg3 Hg 0.1250 0.6250 0.6250
Hg4 Hg 0.6250 0.6250 0.6250
Pr1 Pr 0.0000 0.0000 0.0000
Pr2 Pr 0.2500 0.2500 0.2500
```

Results
* magnetic moment: 0.00 μB/atom
* ΔE_f: -28 kJ/mol of atoms
* final energy: -2.08 eV per atom

This record from OQMD describes a relaxed Pr2Hg crystal. The functional is PBE.

Geometry as CIF:
```
data_Pr2Hg
_chemical_formula_sum 'Pr4 Hg2'
_cell_length_a 9.4693
_cell_length_b 9.4693
_cell_length_c 9.4693
_cell_angle_alpha 60.00
_cell_angle_beta 60.00
_cell_angle_gamma 60.00
_symmetry_space_group_name_H-M 'P 1'
_symmetry_Int_Tables_number 1
loop_
_symmetry_equiv_pos_as_xyz
'x,y,z'
loop_
_atom_site_label
_atom_site_type_symbol
_atom_site_fract_x
_atom_site_fract_y
_atom_site_fract_z
Hg1 Hg 0.2500 0.2500 0.2500
Hg2 Hg 0.5000 0.5000 0.5000
Pr1 Pr 0.3750 0.3750 0.3750
Pr2 Pr 0.8750 0.3750 0.3750
Pr3 Pr 0.3750 0.8750 0.3750
Pr4 Pr 0.3750 0.3750 0.8750
```

Results
* magnetic moment: 0.09 μB/atom
* ΔE_f: 125 kJ/mol of atoms
* final energy: -1.98 eV per atom

This record from OQMD describes a relaxed PrPuHg crystal. The functional is PBE.

Geometry as CIF:
```
data_PrPuHg
_chemical_formula_sum 'Pr1 Pu1 Hg1'
_cell_length_a 5.2311
_cell_length_b 5.2311
_cell_length_c 5.2311
_cell_angle_alpha 60.00
_cell_angle_beta 60.00
_cell_angle_gamma 60.00
_symmetry_space_group_name_H-M 'P 1'
_symmetry_Int_Tables_number 1
loop_
_symmetry_equiv_pos_as_xyz
'x,y,z'
loop_
_atom_site_label
_atom_site_type_symbol
_atom_site_fract_x
_atom_site_fract_y
_atom_site_fract_z
Hg1 Hg 0.0000 0.0000 0.0000
Pr1 Pr 0.2500 0.2500 0.2500
Pu1 Pu 0.7500 0.7500 0.7500
```

Results
* magnetic moment: 2.19 μB/atom
* ΔE_f: 8 kJ/mol of atoms
* E above lowest polymorph: 0.00 kcal/mol of atoms
* final energy: -6.31 eV per atom

This record from OQMD describes a relaxed RbPr2Hg4 crystal. The functional is PBE.

Geometry as CIF:
```
data_RbPr2Hg4
_chemical_formula_sum 'Rb1 Pr2 Hg4'
_cell_length_a 6.9052
_cell_length_b 6.9052
_cell_length_c 4.2314
_cell_angle_alpha 90.00
_cell_angle_beta 90.00
_cell_angle_gamma 90.00
_symmetry_space_group_name_H-M 'P 1'
_symmetry_Int_Tables_number 1
loop_
_symmetry_equiv_pos_as_xyz
'x,y,z'
loop_
_atom_site_label
_atom_site_type_symbol
_atom_site_fract_x
_atom_site_fract_y
_atom_site_fract_z
Hg1 Hg 0.2852 0.2852 0.4998
Hg2 Hg 0.7148 0.7148 0.4998
Hg3 Hg 0.7148 0.2852 0.5002
Hg4 Hg 0.2852 0.7148 0.5002
Pr1 Pr 0.5000 0.0000 0.0000
Pr2 Pr 0.0000 0.5000 0.0000
Rb1 Rb 0.0000 0.0000 0.0000
```

Results
* magnetic moment: 0.00 μB/atom
* final energy: -1.79 eV per atom

This record from OQMD describes a relaxed RbPrHgSe3 crystal. The functional is PBE.

Geometry as CIF:
```
data_RbPrHgSe3
_chemical_formula_sum 'Rb2 Pr2 Hg2 Se6'
_cell_length_a 8.8739
_cell_length_b 4.3860
_cell_length_c 10.7969
_cell_angle_alpha 90.00
_cell_angle_beta 108.06
_cell_angle_gamma 90.00
_symmetry_space_group_name_H-M 'P 1'
_symmetry_Int_Tables_number 1
loop_
_symmetry_equiv_pos_as_xyz
'x,y,z'
loop_
_atom_site_label
_atom_site_type_symbol
_atom_site_fract_x
_atom_site_fract_y
_atom_site_fract_z
Hg1 Hg 0.0883 0.2500 0.1181
Hg2 Hg 0.9117 0.7500 0.8819
Pr1 Pr 0.3123 0.7500 0.3674
Pr2 Pr 0.6877 0.2500 0.6326
Rb1 Rb 0.7459 0.7500 0.2207
Rb2 Rb 0.2541 0.2500 0.7793
Se1 Se 0.2360 0.7500 0.0557
Se2 Se 0.5343 0.2500 0.3525
Se3 Se 0.0727 0.2500 0.3579
Se4 Se 0.9273 0.7500 0.6421
Se5 Se 0.4657 0.7500 0.6475
Se6 Se 0.7640 0.2500 0.9443
```

Results
* magnetic moment: 0.00 μB/atom
* final energy: -3.94 eV per atom

This record from OQMD describes a relaxed RbPrHgSe3 crystal. The functional is PBE.

Geometry as CIF:
```
data_RbPrHgSe3
_chemical_formula_sum 'Rb2 Pr2 Hg2 Se6'
_cell_length_a 9.6422
_cell_length_b 9.6422
_cell_length_c 9.3963
_cell_angle_alpha 103.00
_cell_angle_beta 103.00
_cell_angle_gamma 26.29
_symmetry_space_group_name_H-M 'P 1'
_symmetry_Int_Tables_number 1
loop_
_symmetry_equiv_pos_as_xyz
'x,y,z'
loop_
_atom_site_label
_atom_site_type_symbol
_atom_site_fract_x
_atom_site_fract_y
_atom_site_fract_z
Hg1 Hg 0.5181 0.5181 0.2229
Hg2 Hg 0.4819 0.4819 0.7771
Pr1 Pr 0.1712 0.1712 0.0832
Pr2 Pr 0.8288 0.8288 0.9168
Rb1 Rb 0.8592 0.8592 0.4296
Rb2 Rb 0.1408 0.1408 0.5704
Se1 Se 0.0000 0.0000 0.0000
Se2 Se 0.3322 0.3322 0.1328
Se3 Se 0.6686 0.6686 0.2965
Se4 Se 0.5000 0.5000 0.5000
Se5 Se 0.3314 0.3314 0.7035
Se6 Se 0.6678 0.6678 0.8672
```

Results
* magnetic moment: 0.00 μB/atom
* final energy: -3.86 eV per atom